Entry 1:
Crystalline RbH3Au at its relaxed geometry. Source: Alexandria, functional GGA-PBE.

```
RbH3Au
1.0
5.458 0.081 0.212
0.181 7.315 0.433
0.113 0.391 5.004
Rb Au H
2 2 6
direct
0.676 0.476 0.248 Rb
0.174 0.976 0.750 Rb
0.673 0.976 0.250 Au
0.176 0.477 0.748 Au
0.714 0.089 0.506 H
0.422 0.105 0.190 H
0.933 0.346 0.758 H
0.925 0.848 0.310 H
0.418 0.608 0.738 H
0.633 0.864 0.995 H
```

Computed properties:
- Space group: No. 1
- Energy relative to the lowest polymorph listed for this composition: 0 meV/atom

***

Entry 2:
Crystalline NdSm10Sc4 at its relaxed geometry. Source: Alexandria, functional GGA-PBE.

```
NdSm10Sc4
1.0
-1.927 3.161 -6.898
-8.669 -0.451 -2.227
-2.260 8.671 0.162
Sc Sm Nd
4 10 1
direct
0.569 0.137 0.724 Sc
0.294 0.276 0.137 Sc
0.706 0.724 0.863 Sc
0.431 0.863 0.276 Sc
0.679 0.353 0.874 Sm
0.447 0.874 0.647 Sm
0.968 0.126 0.353 Sm
0.553 0.126 0.353 Sm
0.250 0.500 0.500 Sm
0.094 0.353 0.874 Sm
0.750 0.500 0.500 Sm
0.906 0.647 0.126 Sm
0.032 0.874 0.647 Sm
0.321 0.647 0.126 Sm
0.000 0.000 0.000 Nd
```

Computed properties:
- Formation enthalpy at 0 K: 0.55 eV per atom
- Space group: No. 87

***

Entry 3:
Crystalline K2CaInI6 at its relaxed geometry. Source: Alexandria, functional GGA-PBE.

```
K2CaInI6
1.0
-4.247 -7.345 -0.769
3.688 -7.318 2.329
-2.790 -4.080 7.182
K I Ca In
2 6 1 1
direct
0.031 0.031 0.906 K
0.531 0.531 0.408 K
0.173 0.971 0.272 I
0.971 0.584 0.272 I
0.471 0.675 0.769 I
0.584 0.173 0.272 I
0.085 0.471 0.769 I
0.675 0.085 0.769 I
0.820 0.820 0.539 Ca
0.320 0.320 0.039 In
```

Computed properties:
- Space group: No. 146
- Formation energy without anion corrections: -1.16 eV/atom